# NaMn2V3O8 | Alexandria via LeMat-Bulk | PBE+U | optimized geometry
# Electronic total energy   -7.500 eV per atom
# Density   4.097 Mg/m³
# Space group   No. 8
data_NaMn2V3O8
_cell_length_a 6.1327
_cell_length_b 6.1069
_cell_length_c 6.2535
_cell_angle_alpha 61.21
_cell_angle_beta 60.63
_cell_angle_gamma 59.86
_space_group_name_H-M_alt 'P 1'
_space_group_IT_number 1
loop_
_space_group_symop_operation_xyz
'x,y,z'
loop_
_atom_site_label
_atom_site_type_symbol
_atom_site_fract_x
_atom_site_fract_y
_atom_site_fract_z
_atom_site_occupancy
V1 V 0.5006 0.5026 0.0063 1
V2 V 0.9905 0.5026 0.0063 1
V3 V 0.5012 0.9990 0.9985 1
O1 O 0.7430 0.7133 0.8008 1
O2 O 0.2512 0.7108 0.7869 1
O3 O 0.7540 0.7334 0.2041 1
O4 O 0.7048 0.2614 0.7894 1
O5 O 0.2444 0.2614 0.7895 1
O6 O 0.7460 0.3014 0.2065 1
O7 O 0.3085 0.7334 0.2041 1
O8 O 0.2534 0.2756 0.2175 1
Mn1 Mn 0.1215 0.1251 0.6319 1
Mn2 Mn 0.4987 0.5014 0.5012 1
Na1 Na 0.8749 0.8713 0.3789 1